1.
DFT (PBE) results for crystalline Y3V2Co9 at its relaxed geometry.

N(E_F)	18.6	states/eV per cell
calculated volume	14.9	Å³/atom
formation enthalpy at 0 K	-52	kJ/mol of formula units
E	-7.29	eV/atom

Unit cell a=4.0464 b=7.5558 c=7.5558 alpha=73.02 beta=74.47 gamma=74.47
Fractional positions:
Co 0.0000 0.5000 0.5000
Co 0.6730 0.6838 0.9703
Co 0.1237 0.5965 0.1561
Co 0.8763 0.8439 0.4035
Co 0.1237 0.1561 0.5965
Co 0.8763 0.4035 0.8439
Co 0.3270 0.0297 0.3162
Co 0.3270 0.3162 0.0297
Co 0.6730 0.9703 0.6838
V 0.5000 0.2760 0.7240
V 0.5000 0.7240 0.2760
Y 0.6954 0.3046 0.3046
Y 0.0000 0.0000 0.0000
Y 0.3046 0.6954 0.6954

2.
DFT (PBE) results for crystalline Ac2P4PdRh3 at its relaxed geometry.

N(E_F)	5.9	states/eV per cell
calculated volume	18.2	Å³/atom
formation enthalpy at 0 K	-991	kJ/mol of formula units
E	-6.74	eV/atom

Unit cell a=4.3364 b=4.3364 c=9.6921 alpha=90.00 beta=90.00 gamma=90.00
Fractional positions:
Pd 0.5000 0.5000 0.5000
Rh 0.5000 0.0000 0.8933
Rh 0.0000 0.5000 0.1067
Rh 0.0000 0.0000 0.5000
Ac 0.0000 0.5000 0.7560
Ac 0.5000 0.0000 0.2440
P 0.5000 0.0000 0.6370
P 0.0000 0.5000 0.3630
P 0.5000 0.5000 0.0000
P 0.0000 0.0000 0.0000

3.
DFT (PBE) results for crystalline ICl3F at its relaxed geometry.

N(E_F)	6.1	states/eV per cell
uncorrected formation energy	-416	meV per atom
calculated volume	36.4	Å³/atom
energy relative to the lowest polymorph listed for this composition	0.0	kJ/mol of atoms
E	-2.21	eV/atom

Unit cell a=7.0950 b=7.6156 c=13.5111 alpha=90.00 beta=85.69 gamma=90.00
Fractional positions:
Cl 0.9034 0.4002 0.8939
Cl 0.6072 0.7417 0.9909
Cl 0.0966 0.4002 0.6061
Cl 0.2347 0.7363 0.8068
Cl 0.6072 0.2583 0.4909
Cl 0.7653 0.7363 0.6932
Cl 0.2347 0.2637 0.3068
Cl 0.3928 0.2583 0.0091
Cl 0.0966 0.5998 0.1061
Cl 0.9034 0.5998 0.3939
Cl 0.7653 0.2637 0.1932
Cl 0.3928 0.7417 0.5091
I 0.9162 0.7254 0.9046
I 0.0838 0.7254 0.5954
I 0.9162 0.2746 0.4046
I 0.0838 0.2746 0.0954
F 0.0845 0.0137 0.1016
F 0.0845 0.9863 0.6016
F 0.9155 0.0137 0.3984
F 0.9155 0.9863 0.8984

4.
DFT (PBE) results for crystalline MnPt2W at its relaxed geometry.

N(E_F)	3.1	states/eV per cell
calculated volume	15.2	Å³/atom
formation enthalpy at 0 K	-37	kJ/mol of formula units
energy relative to the lowest polymorph listed for this composition	19.1	kJ/mol of atoms
E	-8.65	eV/atom

Unit cell a=3.3029 b=3.3029 c=5.5771 alpha=90.00 beta=90.00 gamma=90.00
Fractional positions:
Pt 0.5000 0.5000 0.2609
Pt 0.0000 0.0000 0.9809
Mn 0.5000 0.5000 0.7568
W 0.0000 0.0000 0.5013

5.
DFT (PBE) results for crystalline CeSmTl6 at its relaxed geometry.

N(E_F)	7.8	states/eV per cell
calculated volume	27.9	Å³/atom
formation enthalpy at 0 K	-208	kJ/mol of formula units
E	-3.38	eV/atom

Unit cell a=4.8189 b=4.8189 c=9.6283 alpha=90.00 beta=90.00 gamma=90.00
Fractional positions:
Tl 0.0000 0.5000 0.7494
Tl 0.0000 0.5000 0.2506
Tl 0.5000 0.0000 0.7494
Tl 0.5000 0.5000 0.0000
Tl 0.5000 0.0000 0.2506
Tl 0.5000 0.5000 0.5000
Sm 0.0000 0.0000 0.5000
Ce 0.0000 0.0000 0.0000

> Which value of N(E_F) does entry 3 give?

6.1 states/eV per cell